(1)
A relaxed structure of TbPrSiAu, computed with PBE-GGA.

a = 5.167 Å, b = 5.167 Å, c = 5.167 Å
α = 60.00°, β = 60.00°, γ = 60.00°
Positions (direct):
Tb: 0.000 0.000 0.000
Pr: 0.500 0.500 0.500
Si: 0.750 0.750 0.750
Au: 0.250 0.250 0.250

Summary:
Uncorrected formation energy in meV per atom: -619

(2)
A relaxed structure of CdOs, computed with PBE-GGA.

a = 5.039 Å, b = 5.039 Å, c = 5.039 Å
α = 32.82°, β = 32.82°, γ = 32.82°
Positions (direct):
Cd: 0.000 0.000 0.000
Os: 0.500 0.500 0.500

Summary:
Formation energy from the elements in eV/f.u.: 1.39

(3)
A relaxed structure of ScCu3Sb, computed with PBE-GGA.

a = 4.767 Å, b = 4.767 Å, c = 4.767 Å
α = 90.00°, β = 90.00°, γ = 90.00°
Positions (direct):
Sc: 0.000 0.000 0.000
Cu: 0.000 0.500 0.500
Cu: 0.500 0.000 0.500
Cu: 0.500 0.500 0.000
Sb: 0.500 0.500 0.500

Summary:
Uncorrected formation energy in meV per atom: 556
Offset from the most stable computed form in eV/atom: 0.0000

(4)
A relaxed structure of TbNdEr6Tm2, computed with PBE-GGA.

a = 8.714 Å, b = 8.714 Å, c = 9.398 Å
α = 93.21°, β = 93.21°, γ = 117.22°
Positions (direct):
Tb: 0.090 0.910 0.750
Tb: 0.910 0.090 0.250
Nd: 0.471 0.529 0.250
Nd: 0.529 0.471 0.750
Er: 0.013 0.792 0.384
Er: 0.063 0.517 0.181
Er: 0.208 0.987 0.116
Er: 0.254 0.621 0.557
Er: 0.379 0.746 0.943
Er: 0.483 0.937 0.319
Er: 0.517 0.063 0.681
Er: 0.621 0.254 0.057
Er: 0.746 0.379 0.443
Er: 0.792 0.013 0.884
Er: 0.937 0.483 0.819
Er: 0.987 0.208 0.616
Tm: 0.196 0.301 0.952
Tm: 0.301 0.196 0.452
Tm: 0.699 0.804 0.548
Tm: 0.804 0.699 0.048

Summary:
Formation energy from the elements in eV/f.u.: 1.23

(5)
A relaxed structure of CsLi3Sc, computed with PBE-GGA.

a = 5.350 Å, b = 5.350 Å, c = 5.350 Å
α = 90.00°, β = 90.00°, γ = 90.00°
Positions (direct):
Cs: 0.000 0.000 0.000
Li: 0.000 0.000 0.500
Li: 0.000 0.500 0.000
Li: 0.500 0.000 0.000
Sc: 0.500 0.500 0.500

Summary:
Formation energy from the elements in eV/f.u.: 4.95

(6)
A relaxed structure of Nd12Dy7Sc, computed with PBE-GGA.

a = 11.509 Å, b = 11.509 Å, c = 11.509 Å
α = 116.83°, β = 116.83°, γ = 116.83°
Positions (direct):
Nd: 0.001 0.413 0.588
Nd: 0.079 0.080 0.432
Nd: 0.080 0.432 0.079
Nd: 0.412 0.999 0.587
Nd: 0.413 0.588 0.001
Nd: 0.432 0.079 0.080
Nd: 0.568 0.921 0.920
Nd: 0.587 0.412 0.999
Nd: 0.588 0.001 0.413
Nd: 0.920 0.568 0.921
Nd: 0.921 0.920 0.568
Nd: 0.999 0.587 0.412
Dy: 0.000 0.000 0.000
Dy: 0.140 0.381 0.381
Dy: 0.381 0.140 0.381
Dy: 0.381 0.381 0.140
Dy: 0.619 0.619 0.860
Dy: 0.619 0.860 0.619
Dy: 0.860 0.619 0.619
Sc: 0.500 0.500 0.500

Summary:
Formation energy from the elements in eV/f.u.: 3.99
Offset from the most stable computed form in eV/atom: 0.0953

(7)
A relaxed structure of Ba2Li2Mg, computed with PBE-GGA.

a = 11.170 Å, b = 11.170 Å, c = 11.170 Å
α = 158.02°, β = 158.02°, γ = 31.28°
Positions (direct):
Ba: 0.102 0.102 0.000
Ba: 0.898 0.898 0.000
Li: 0.250 0.750 0.500
Li: 0.750 0.250 0.500
Mg: 0.500 0.500 0.000

Summary:
Formation energy from the elements in eV/f.u.: 0.29
Offset from the most stable computed form in eV/atom: 0.0608

(8)
A relaxed structure of Ca2AlI, computed with PBE-GGA.

a = 7.112 Å, b = 7.112 Å, c = 7.112 Å
α = 107.65°, β = 107.65°, γ = 113.17°
Positions (direct):
Ca: 0.117 0.625 0.992
Ca: 0.375 0.367 0.492
Ca: 0.633 0.125 0.008
Ca: 0.875 0.883 0.508
Al: 0.000 0.000 0.000
Al: 0.750 0.250 0.500
I: 0.250 0.750 0.500
I: 0.500 0.500 0.000

Summary:
Uncorrected formation energy in meV per atom: -283
Offset from the most stable computed form in eV/atom: 0.3045

(9)
A relaxed structure of BeCoHg2, computed with PBE-GGA.

a = 5.123 Å, b = 5.123 Å, c = 5.123 Å
α = 136.35°, β = 136.35°, γ = 63.43°
Positions (direct):
Be: 0.000 0.000 0.000
Co: 0.250 0.750 0.500
Hg: 0.500 0.500 0.000
Hg: 0.750 0.250 0.500

Summary:
Formation energy from the elements in eV/f.u.: 2.17

(10)
A relaxed structure of HoTePd2, computed with PBE-GGA.

a = 4.858 Å, b = 4.858 Å, c = 4.858 Å
α = 60.00°, β = 60.00°, γ = 60.00°
Positions (direct):
Ho: 0.000 0.000 0.000
Te: 0.500 0.500 0.500
Pd: 0.250 0.250 0.250
Pd: 0.750 0.750 0.750

Summary:
Uncorrected formation energy in meV per atom: -730
Offset from the most stable computed form in eV/atom: 0.0245

(11)
A relaxed structure of Na2DyPb, computed with PBE-GGA.

a = 12.673 Å, b = 12.673 Å, c = 12.673 Å
α = 15.58°, β = 15.58°, γ = 15.58°
Positions (direct):
Na: 0.091 0.091 0.091
Na: 0.909 0.909 0.909
Dy: 0.000 0.000 0.000
Pb: 0.500 0.500 0.500

Summary:
Formation energy from the elements in eV/f.u.: 0.60

(12)
A relaxed structure of Y2MgZn2, computed with PBE-GGA.

a = 6.771 Å, b = 6.771 Å, c = 6.771 Å
α = 139.26°, β = 139.26°, γ = 58.99°
Positions (direct):
Y: 0.250 0.750 0.500
Y: 0.750 0.250 0.500
Mg: 0.000 0.000 0.000
Zn: 0.400 0.400 0.000
Zn: 0.600 0.600 0.000

Summary:
Formation energy from the elements in eV/f.u.: 0.31

(13)
A relaxed structure of NaYTaRh2, computed with PBE-GGA.

a = 4.836 Å, b = 4.836 Å, c = 4.731 Å
α = 90.00°, β = 90.00°, γ = 90.00°
Positions (direct):
Na: 0.000 0.000 0.000
Y: 0.000 0.000 0.500
Ta: 0.500 0.500 0.000
Rh: 0.000 0.500 0.500
Rh: 0.500 0.000 0.500

Summary:
Formation energy from the elements in eV/f.u.: 7.22

(14)
A relaxed structure of Er3Ge4Rh2, computed with PBE-GGA.

a = 5.755 Å, b = 5.755 Å, c = 8.158 Å
α = 107.75°, β = 107.75°, γ = 43.57°
Positions (direct):
Er: 0.000 0.000 0.000
Er: 0.373 0.373 0.305
Er: 0.627 0.627 0.695
Ge: 0.084 0.084 0.398
Ge: 0.290 0.290 0.928
Ge: 0.710 0.710 0.072
Ge: 0.916 0.916 0.602
Rh: 0.313 0.313 0.633
Rh: 0.687 0.687 0.367

Summary:
Formation energy from the elements in eV/f.u.: -7.91

(15)
A relaxed structure of CdAgO3, computed with PBE-GGA.

a = 4.130 Å, b = 4.130 Å, c = 4.130 Å
α = 90.00°, β = 90.00°, γ = 90.00°
Positions (direct):
Cd: 0.000 0.000 0.000
Ag: 0.500 0.500 0.500
O: 0.000 0.000 0.500
O: 0.000 0.500 0.000
O: 0.500 0.000 0.000

Summary:
Uncorrected formation energy in meV per atom: 401

(16)
A relaxed structure of Rb2ZrOs, computed with PBE-GGA.

a = 5.386 Å, b = 5.386 Å, c = 5.386 Å
α = 60.00°, β = 60.00°, γ = 60.00°
Positions (direct):
Rb: 0.250 0.250 0.250
Rb: 0.750 0.750 0.750
Zr: 0.000 0.000 0.000
Os: 0.500 0.500 0.500

Summary:
Formation energy from the elements in eV/f.u.: 9.06
Offset from the most stable computed form in eV/atom: 1.0440

(17)
A relaxed structure of Na3ScSb2S6, computed with PBE-GGA.

a = 6.813 Å, b = 6.813 Å, c = 7.046 Å
α = 99.30°, β = 99.30°, γ = 120.04°
Positions (direct):
Na: 0.000 0.000 0.000
Na: 0.328 0.672 0.000
Na: 0.672 0.328 0.000
Sc: 0.500 0.500 0.500
Sb: 0.166 0.834 0.500
Sb: 0.834 0.166 0.500
S: 0.107 0.425 0.276
S: 0.256 0.256 0.723
S: 0.425 0.107 0.276
S: 0.575 0.893 0.724
S: 0.744 0.744 0.277
S: 0.893 0.575 0.724

Summary:
Uncorrected formation energy in meV per atom: -1014

(18)
A relaxed structure of LiCuF4, computed with PBE-GGA.

a = 4.989 Å, b = 4.588 Å, c = 5.643 Å
α = 90.00°, β = 90.00°, γ = 90.00°
Positions (direct):
Li: 0.000 0.000 0.000
Li: 0.000 0.500 0.500
Cu: 0.500 0.000 0.298
Cu: 0.500 0.500 0.798
F: 0.187 0.211 0.282
F: 0.187 0.289 0.782
F: 0.349 0.744 0.542
F: 0.349 0.756 0.042
F: 0.651 0.244 0.042
F: 0.651 0.256 0.542
F: 0.813 0.711 0.782
F: 0.813 0.789 0.282

Summary:
Uncorrected formation energy in meV per atom: -1884

(19)
A relaxed structure of NdEuZnCo, computed with PBE-GGA.

a = 5.066 Å, b = 5.066 Å, c = 5.066 Å
α = 60.00°, β = 60.00°, γ = 60.00°
Positions (direct):
Nd: 0.000 0.000 0.000
Eu: 0.500 0.500 0.500
Zn: 0.250 0.250 0.250
Co: 0.750 0.750 0.750

Summary:
Formation energy from the elements in eV/f.u.: -0.08

(20)
A relaxed structure of K2InReO6, computed with PBE-GGA.

a = 6.227 Å, b = 6.227 Å, c = 5.563 Å
α = 90.00°, β = 90.00°, γ = 120.00°
Positions (direct):
K: 0.333 0.667 0.369
K: 0.667 0.333 0.631
In: 0.000 0.000 0.000
Re: 0.000 0.000 0.500
O: 0.142 0.283 0.708
O: 0.142 0.858 0.708
O: 0.283 0.142 0.292
O: 0.717 0.858 0.708
O: 0.858 0.142 0.292
O: 0.858 0.717 0.292

Summary:
Uncorrected formation energy in meV per atom: -1469